# 1
A relaxed ZrMoAs crystal, computed with PBE. Values from VASP.

Structure (Quantum ESPRESSO input):
```
&SYSTEM
  ibrav = 0, nat = 12, ntyp = 3
/
ATOMIC_SPECIES
As 74.92 As.upf
Zr 91.22 Zr.upf
Mo 95.94 Mo.upf
CELL_PARAMETERS angstrom
-2.6630 1.9207 1.0902
0.2324 -3.2010 6.2070
5.8248 6.3431 3.0531
ATOMIC_POSITIONS angstrom
As -0.8063 -1.3930 5.9741
As 0.9368 2.5864 3.2211
As 4.2455 5.8353 5.5794
As 2.4548 2.5124 7.0593
Zr 0.9161 0.4617 1.4242
Zr 3.2605 3.4135 1.9505
Zr 2.6990 1.0750 4.6988
Zr 5.0971 3.2877 6.6582
Mo 0.7749 0.2832 6.8834
Mo -0.1705 0.4012 4.3662
Mo 3.4615 6.0833 3.2273
Mo 2.6705 4.0744 4.8344
```

Results
The energy comes out at -8.47 eV/atom. Its space-group type is Pmc2_1, No. 26.

=====

# 2
A relaxed CsY3Se crystal, computed with PBE. Values from VASP.

Structure (Quantum ESPRESSO input):
```
&SYSTEM
  ibrav = 0, nat = 5, ntyp = 3
/
ATOMIC_SPECIES
Cs 132.91 Cs.upf
Y 88.91 Y.upf
Se 78.96 Se.upf
CELL_PARAMETERS angstrom
5.6008 0.0000 0.0000
0.0000 5.6008 0.0000
0.0000 0.0000 5.6008
ATOMIC_POSITIONS angstrom
Cs 0.0000 0.0000 0.0000
Y 0.0000 2.8004 0.0000
Y 0.0000 0.0000 2.8004
Y 2.8004 0.0000 0.0000
Se 2.8004 2.8004 2.8004
```

Results
Its distance to the lowest polymorph of the same formula is 128.1 kJ/mol of atoms. Its space-group type is Pm-3m, No. 221. The calculation puts the uncorrected formation energy at 1.255 eV/atom.

=====

# 3
A relaxed FeHgI2 crystal, computed with PBE. Values from VASP.

Structure (Quantum ESPRESSO input):
```
&SYSTEM
  ibrav = 0, nat = 8, ntyp = 3
/
ATOMIC_SPECIES
I 126.90 I.upf
Hg 200.59 Hg.upf
Fe 55.84 Fe.upf
CELL_PARAMETERS angstrom
-3.1434 -7.1865 1.9791
7.3983 -3.2700 -0.1234
2.7159 -4.0883 6.0020
ATOMIC_POSITIONS angstrom
I 0.0106 -5.0731 2.4881
I 4.5385 -4.8134 1.9047
I 4.5069 -7.3738 5.1828
I 4.8857 -11.8292 6.1399
Hg 0.0000 0.0000 0.0000
Hg 0.8500 -8.2515 4.4545
Fe 2.1275 -5.2283 0.9279
Fe 6.1209 -6.2933 3.4032
```

Results
Its distance to the lowest polymorph of the same formula is 0.0 kJ/mol of atoms. Its space-group type is I-42d, No. 122. The calculation puts the uncorrected formation energy at 0.020 eV/atom.

=====

# 4
A relaxed NiPd5Au crystal, computed with PBE. Values from VASP.

Structure (Quantum ESPRESSO input):
```
&SYSTEM
  ibrav = 0, nat = 7, ntyp = 3
/
ATOMIC_SPECIES
Ni 58.69 Ni.upf
Pd 106.42 Pd.upf
Au 196.97 Au.upf
CELL_PARAMETERS angstrom
-1.1433 3.7697 0.4495
-3.7457 -1.1965 0.5075
1.1198 -0.5041 7.0761
ATOMIC_POSITIONS angstrom
Ni 0.5599 -0.2520 3.5381
Pd -2.4445 1.2866 0.4785
Pd -0.2498 1.7400 2.2582
Pd -1.5511 -0.7431 2.2872
Pd 0.2264 1.5256 5.2674
Pd -1.0749 -0.9575 5.2964
Au 0.0000 0.0000 0.0000
```

Results
Its distance to the lowest polymorph of the same formula is 0.0 kJ/mol of atoms. Its space-group type is P4/mmm, No. 123.